Entry w
Cu6NiPt8, optimized geometry, DFT PBE; calculated volume = 14.61 Å³/atom; space-group type = P-3; mass density = 15.15 g/cm³
1.0
-0.284 2.726 0.292
-8.498 -1.336 4.223
7.988 0.265 5.286
Pt Cu Ni
8 6 1
direct
0.243 0.333 0.667 Pt
0.241 0.291 0.078 Pt
0.241 0.787 0.709 Pt
0.757 0.667 0.333 Pt
0.759 0.078 0.787 Pt
0.759 0.213 0.291 Pt
0.759 0.709 0.922 Pt
0.241 0.922 0.213 Pt
0.745 0.091 0.476 Cu
0.745 0.385 0.909 Cu
0.255 0.476 0.385 Cu
0.255 0.909 0.524 Cu
0.255 0.615 0.091 Cu
0.745 0.524 0.615 Cu
0.500 0.000 0.000 Ni



Entry x
Cu6NiPt8, optimized geometry, DFT PBE; calculated volume = 15.19 Å³/atom; space-group type = P-3; mass density = 14.58 g/cm³
1.0
5.137 0.000 0.000
0.000 6.198 -3.578
0.000 0.000 7.157
Pt Cu Ni
8 6 1
direct
0.251 0.667 0.333 Pt
0.112 0.654 0.963 Pt
0.112 0.037 0.691 Pt
0.112 0.309 0.346 Pt
0.888 0.346 0.037 Pt
0.888 0.691 0.654 Pt
0.888 0.963 0.309 Pt
0.749 0.333 0.667 Pt
0.603 0.973 0.642 Cu
0.603 0.670 0.027 Cu
0.397 0.027 0.358 Cu
0.397 0.642 0.670 Cu
0.397 0.330 0.973 Cu
0.603 0.358 0.330 Cu
0.500 0.000 0.000 Ni



Of them, entry w has the highest stability.